[1]
Material: TiInB2
Method: DFT, GGA-PBE
State: optimized geometry

abc: 3.8411 3.8411 8.5786
angles: 77.06 77.06 90.00
Element x y z (fractional)
B 0.3755 0.1250 0.2500
B 0.3750 0.6245 0.7500
B 0.8750 0.6255 0.7500
In 0.0000 0.0000 0.0000
In 0.7500 0.2500 0.5000
B 0.3745 0.6250 0.2500
Ti 0.2500 0.7500 0.5000
Ti 0.5000 0.5000 0.0000

Output
**Symmetry**: No. 141
**Mass density**: 5.10 g cm⁻³
**Total DFT energy (no corrections)**: -5.353 eV per atom
**Energy of formation**: 2.58 eV/f.u.

---

[2]
Material: TiIn3B
Method: DFT, GGA-PBE
State: optimized geometry

abc: 5.3558 5.3558 5.3558
angles: 90.00 90.00 90.00
Element x y z (fractional)
In 0.0000 0.0000 0.5000
In 0.5000 0.0000 0.0000
In 0.0000 0.5000 0.0000
Ti 0.0000 0.0000 0.0000
B 0.5000 0.5000 0.5000

Output
**Energy above the most stable polymorph in this dataset**: 574.9 meV/atom
**Symmetry**: No. 221
**Mass density**: 4.36 g cm⁻³
**Total DFT energy (no corrections)**: -3.175 eV per atom
**Energy of formation**: 6.91 eV/f.u.

---

[3]
Material: TiInB3
Method: DFT, GGA-PBE
State: optimized geometry

abc: 4.3282 4.3282 4.3282
angles: 90.00 90.00 90.00
Element x y z (fractional)
B 0.5000 0.0000 0.0000
B 0.0000 0.0000 0.5000
Ti 0.5000 0.5000 0.5000
In 0.0000 0.0000 0.0000
B 0.0000 0.5000 0.0000

Output
**Energy above the most stable polymorph in this dataset**: 789.3 meV/atom
**Symmetry**: No. 221
**Mass density**: 4.00 g cm⁻³
**Total DFT energy (no corrections)**: -3.935 eV per atom
**Energy of formation**: 10.99 eV/f.u.

---

[4]
Material: Ti2InB
Method: DFT, GGA-PBE
State: optimized geometry

abc: 4.4232 4.4232 4.4232
angles: 60.00 60.00 60.00
Element x y z (fractional)
Ti 0.7500 0.7500 0.7500
In 0.5000 0.5000 0.5000
Ti 0.2500 0.2500 0.2500
B 0.0000 0.0000 0.0000

Output
**Energy above the most stable polymorph in this dataset**: 783.5 meV/atom
**Symmetry**: No. 225
**Mass density**: 6.01 g cm⁻³
**Total DFT energy (no corrections)**: -5.883 eV per atom
**Energy of formation**: 1.68 eV/f.u.